# 1
! Te4C23, optimized geometry, DFT PBE; values from VASP
&SYSTEM
  ibrav = 0, nat = 54, ntyp = 2
/
ATOMIC_SPECIES
Te 127.60 Te.upf
C 12.01 C.upf
CELL_PARAMETERS angstrom
7.686 0.000 0.000
0.000 7.686 0.000
0.000 0.000 7.686
ATOMIC_POSITIONS crystal
Te 0.000 0.000 0.000
Te 0.000 0.250 0.500
Te 0.000 0.750 0.500
Te 0.250 0.500 0.000
Te 0.500 0.000 0.250
Te 0.500 0.000 0.750
Te 0.500 0.500 0.500
Te 0.750 0.500 0.000
C 0.000 0.281 0.206
C 0.000 0.281 0.794
C 0.000 0.500 0.250
C 0.000 0.500 0.750
C 0.000 0.719 0.206
C 0.000 0.719 0.794
C 0.188 0.188 0.188
C 0.188 0.188 0.812
C 0.188 0.812 0.188
C 0.188 0.812 0.812
C 0.206 0.000 0.281
C 0.206 0.000 0.719
C 0.219 0.500 0.294
C 0.219 0.500 0.706
C 0.250 0.000 0.500
C 0.281 0.206 0.000
C 0.281 0.794 0.000
C 0.294 0.219 0.500
C 0.294 0.781 0.500
C 0.312 0.312 0.312
C 0.312 0.312 0.688
C 0.312 0.688 0.312
C 0.312 0.688 0.688
C 0.500 0.250 0.000
C 0.500 0.294 0.219
C 0.500 0.294 0.781
C 0.500 0.706 0.219
C 0.500 0.706 0.781
C 0.500 0.750 0.000
C 0.688 0.312 0.312
C 0.688 0.312 0.688
C 0.688 0.688 0.312
C 0.688 0.688 0.688
C 0.706 0.219 0.500
C 0.706 0.781 0.500
C 0.719 0.206 0.000
C 0.719 0.794 0.000
C 0.750 0.000 0.500
C 0.781 0.500 0.294
C 0.781 0.500 0.706
C 0.794 0.000 0.281
C 0.794 0.000 0.719
C 0.812 0.188 0.188
C 0.812 0.188 0.812
C 0.812 0.812 0.188
C 0.812 0.812 0.812
! DFT total energy in eV per atom: -6.586
! ΔE_f (raw) in meV per atom: 1737

# 2
! Te2C, optimized geometry, DFT PBE; values from VASP
&SYSTEM
  ibrav = 0, nat = 6, ntyp = 2
/
ATOMIC_SPECIES
Te 127.60 Te.upf
C 12.01 C.upf
CELL_PARAMETERS angstrom
3.352 0.000 0.000
-1.676 2.903 0.000
0.000 0.000 13.896
ATOMIC_POSITIONS crystal
Te 0.333 0.667 0.112
Te 0.333 0.667 0.388
Te 0.667 0.333 0.612
Te 0.667 0.333 0.888
C 0.000 0.000 0.000
C 0.000 0.000 0.500
! DFT total energy in eV per atom: -3.822
! Offset from the most stable computed form in meV per atom: 619
! ΔE_f (raw) in meV per atom: 1347

# 3
! Te2C, optimized geometry, DFT PBE; values from VASP
&SYSTEM
  ibrav = 0, nat = 6, ntyp = 2
/
ATOMIC_SPECIES
Te 127.60 Te.upf
C 12.01 C.upf
CELL_PARAMETERS angstrom
1.572 -13.690 0.000
1.572 13.690 0.000
0.000 0.000 3.172
ATOMIC_POSITIONS crystal
Te 0.072 0.928 0.750
Te 0.306 0.694 0.250
Te 0.694 0.306 0.750
Te 0.928 0.072 0.250
C 0.400 0.600 0.750
C 0.600 0.400 0.250
! DFT total energy in eV per atom: -3.668
! Offset from the most stable computed form in meV per atom: 773
! ΔE_f (raw) in meV per atom: 1501

# 4
! Te2C, optimized geometry, DFT PBE; values from VASP
&SYSTEM
  ibrav = 0, nat = 6, ntyp = 2
/
ATOMIC_SPECIES
Te 127.60 Te.upf
C 12.01 C.upf
CELL_PARAMETERS angstrom
4.801 -1.756 0.000
4.801 1.756 0.000
-0.392 0.000 9.996
ATOMIC_POSITIONS crystal
Te 0.101 0.101 0.179
Te 0.176 0.176 0.585
Te 0.824 0.824 0.415
Te 0.899 0.899 0.821
C 0.467 0.467 0.940
C 0.533 0.533 0.060
! DFT total energy in eV per atom: -4.430
! Offset from the most stable computed form in meV per atom: 10
! ΔE_f (raw) in meV per atom: 739